First-principles (GGA+U) data for an optimized crystal structure of Ba3YFe2O6, as listed in Alexandria.

Its density is 4.935 g/cm3. The calculation puts the total energy at -0.24430 hartree per atom.

Geometry as CIF:
```
data_Ba3YFe2O6
_cell_length_a 6.2191
_cell_length_b 6.2191
_cell_length_c 7.1173
_cell_angle_alpha 90.00
_cell_angle_beta 90.00
_cell_angle_gamma 120.00
_symmetry_space_group_name_H-M 'P -3 m 1'
_symmetry_Int_Tables_number 164
_symmetry_space_group_name_Hall '-P 3 2"'
loop_
_atom_site_label
_atom_site_fract_x
_atom_site_fract_y
_atom_site_fract_z
Ba1 0.0000 0.0000 0.0000
Ba2 0.3333 0.6667 0.6485
Y1 0.0000 0.0000 0.5000
Fe1 0.3333 0.6667 0.2116
O1 0.1661 0.3321 0.3062
```